Model i:
Density functional theory data (PBE) for crystalline Sr2Y at its relaxed geometry.

Cell: 10.5902 10.5902 6.5353 Å, 90.00 90.00 158.74°
With the nearest neighbours (Å) after each atom.
Atoms (fractional coordinates):
Sr 0.7761 0.2239 0.7500  8 Sr 3.91-4.07, 4 Y 3.95-4.03
Sr 0.4478 0.5522 0.7500  6 Sr 3.91-4.07, 6 Y 3.92-4.00
Sr 0.2239 0.7761 0.2500  8 Sr 3.91-4.07, 4 Y 3.95-4.03
Sr 0.5522 0.4478 0.2500  6 Sr 3.91-4.07, 6 Y 3.92-4.00
Y 0.1110 0.8890 0.7500  2 Y 3.91, 10 Sr 3.92-4.03
Y 0.8890 0.1110 0.2500  2 Y 3.91, 10 Sr 3.92-4.03

Results
For the calculated volume, the calculation gives 44.3 Å³/atom.

Model ii:
Density functional theory data (PBE) for crystalline Sr2Y at its relaxed geometry.

Cell: 3.7359 10.8063 6.7135 Å, 90.00 90.00 90.00°
With the nearest neighbours (Å) after each atom.
Atoms (fractional coordinates):
Sr 0.0000 0.1799 0.5004  7 Sr 3.74-4.13, 4 Y 3.88-3.93
Sr 0.0000 0.8201 0.4996  7 Sr 3.74-4.13, 4 Y 3.88-3.93
Sr 0.5000 0.6799 0.9996  7 Sr 3.74-4.13, 4 Y 3.88-3.93
Sr 0.5000 0.3201 0.0004  7 Sr 3.74-4.13, 4 Y 3.88-3.93
Y 0.0000 0.0000 0.0000  2 Y 3.74, 8 Sr 3.88-3.93
Y 0.5000 0.5000 0.5000  2 Y 3.74, 8 Sr 3.88-3.93

Results
For the calculated volume, the calculation gives 45.2 Å³/atom.

model i wins, 8.4 kJ/mol of atoms ahead of the next structure.

Model i:
Density functional theory data (PBE) for crystalline B5C7 at its relaxed geometry.

Cell: 2.6271 2.6271 14.6147 Å, 90.00 90.00 120.00°
With the nearest neighbours (Å) after each atom.
Atoms (fractional coordinates):
B 0.0000 0.0000 0.8947  4 C 1.61-1.67
B 0.3333 0.6667 0.6712  1 C 1.57
B 0.6667 0.3333 0.7429  1 C 1.52
B 0.0000 0.0000 0.3084  3 C 1.53
B 0.0000 0.0000 0.5561  3 C 1.52
C 0.6667 0.3333 0.8470  4 B 1.52-1.67
C 0.6667 0.3333 0.2937  3 B 1.53, 1 C 1.65
C 0.3333 0.6667 0.5640  4 B 1.52-1.57
C 0.3333 0.6667 0.1462  4 C 1.55-1.60
C 0.6667 0.3333 0.1810  4 C 1.60-1.65
C 0.0000 0.0000 0.0048  3 C 1.60, 1 B 1.61
C 0.3333 0.6667 0.0400  4 C 1.55-1.60

Results
For the calculated volume, the calculation gives 7.3 Å³/atom.

Model ii:
Density functional theory data (PBE) for crystalline B5C7 at its relaxed geometry.

Cell: 6.0625 6.0625 5.3933 Å, 103.25 103.25 24.71°
With the nearest neighbours (Å) after each atom.
Atoms (fractional coordinates):
B 0.9957 0.9957 0.9906  4 C 1.62-1.74
B 0.3555 0.3555 0.1239  3 C 1.51-1.63
B 0.2305 0.2305 0.4195  3 C 1.54-1.62
B 0.9807 0.9807 0.4960  2 C 1.58
B 0.5966 0.5966 0.5488  2 C 1.65
C 0.9185 0.9185 0.2028  4 B 1.51-1.62
C 0.9075 0.9075 0.7063  2 C 1.56, 2 B 1.58-1.64
C 0.6662 0.6662 0.3178  1 C 1.51, 3 B 1.54-1.65
C 0.3318 0.3318 0.6794  3 C 1.56-1.60, 1 B 1.62
C 0.2481 0.2481 0.8729  3 C 1.56-1.60, 1 B 1.63
C 0.6724 0.6724 0.8477  3 C 1.54-1.56, 1 B 1.65
C 0.5966 0.5966 0.0443  2 C 1.51-1.54

Results
For the calculated volume, the calculation gives 6.7 Å³/atom.

model i wins, 0.8 kJ/mol of atoms ahead of the next structure.

Model i:
Density functional theory data (PBE) for crystalline Ba2YI at its relaxed geometry.

Cell: 10.0759 10.0759 7.9617 Å, 50.74 50.74 90.00°
With the nearest neighbours (Å) after each atom.
Atoms (fractional coordinates):
I 0.0000 0.0000 0.0000  4 Ba 3.39, 2 Y 3.55
I 0.7500 0.2500 0.5000  4 Ba 3.39, 2 Y 3.55
Y 0.5000 0.5000 0.0000  2 I 3.55
Y 0.2500 0.7500 0.5000  2 I 3.55
Ba 0.6678 0.1250 0.2500  2 I 3.39, 2 Ba 3.66
Ba 0.0822 0.6250 0.2500  2 I 3.39, 2 Ba 3.66
Ba 0.3750 0.3322 0.7500  2 I 3.39, 2 Ba 3.66
Ba 0.8750 0.9178 0.7500  2 I 3.39, 2 Ba 3.66

Results
For the calculated volume, the calculation gives 45.1 Å³/atom.

Model ii:
Density functional theory data (PBE) for crystalline Ba2YI at its relaxed geometry.

Cell: 4.0394 4.0394 12.8730 Å, 80.97 80.97 60.00°
With the nearest neighbours (Å) after each atom.
Atoms (fractional coordinates):
I 0.5000 0.5000 0.5000  6 Ba 3.56
Y 0.0000 0.0000 0.0000  2 Ba 3.64, 6 Y 4.04
Ba 0.0959 0.0959 0.7123  3 I 3.56, 1 Y 3.64
Ba 0.9041 0.9041 0.2877  3 I 3.56, 1 Y 3.64

Results
For the calculated volume, the calculation gives 44.7 Å³/atom.

model ii wins, 11.6 kJ/mol of atoms ahead of the next structure.

Model i:
Density functional theory data (PBE) for crystalline Cs2MgF at its relaxed geometry.

Cell: 8.2321 8.2321 8.2321 Å, 114.35 114.35 100.11°
With the nearest neighbours (Å) after each atom.
Atoms (fractional coordinates):
Cs 0.3750 0.7505 0.8755  2 F 2.82
Cs 0.8750 0.4995 0.1245  2 F 2.82
Cs 0.2495 0.1250 0.6245  2 F 2.82
Cs 0.5005 0.6250 0.3755  2 F 2.82
Mg 0.0000 0.0000 0.0000  8 Cs 4.23-4.68
Mg 0.7500 0.2500 0.5000  8 Cs 4.23-4.68
F 0.5000 0.5000 0.0000  4 Cs 2.82
F 0.2500 0.7500 0.5000  4 Cs 2.82

Results
For the calculated volume, the calculation gives 52.6 Å³/atom.

Model ii:
Density functional theory data (PBE) for crystalline Cs2MgF at its relaxed geometry.

Cell: 6.5041 5.9547 17.6749 Å, 90.00 91.77 90.00°
With the nearest neighbours (Å) after each atom.
Atoms (fractional coordinates):
Cs 0.3987 0.0000 0.0565  3 F 2.98-3.00
Cs 0.3987 0.5000 0.5565  3 F 2.98-3.00
Cs 0.4330 0.0000 0.7365  2 F 3.00-3.08
Cs 0.4330 0.5000 0.2365  2 F 3.00-3.08
Cs 0.9090 0.0000 0.5747  2 F 3.23-3.28
Cs 0.9090 0.5000 0.0747  2 F 3.23-3.28
Cs 0.4023 0.0000 0.3995  3 F 2.96-3.15
Cs 0.4023 0.5000 0.8995  3 F 2.96-3.15
Mg 0.9025 0.0000 0.2661  2 Mg 3.43
Mg 0.9025 0.5000 0.7661  2 Mg 3.43
Mg 0.9560 0.0000 0.8604  1 F 1.97
Mg 0.9560 0.5000 0.3604  1 F 1.97
F 0.2466 0.0000 0.8948  1 Mg 1.97
F 0.2466 0.5000 0.3948  1 Mg 1.97
F 0.4041 0.0000 0.5668  6 Cs 2.96-3.28
F 0.4041 0.5000 0.0668  6 Cs 2.96-3.28

Results
For the calculated volume, the calculation gives 42.8 Å³/atom.

model ii wins, 9.4 kJ/mol of atoms ahead of the next structure.